Record 1
A relaxed Li15CdIn4 crystal. Source: the Alexandria database, functional PBE.

a b c (Å): 4.1294 4.1294 22.0546
angles (deg): 90.00 90.00 90.00
Element x y z (fractional)
Li 0.5000 0.0000 0.0988
Li 0.5000 0.5000 0.6011
Li 0.0000 0.5000 0.0988
Li 0.5000 0.0000 0.9012
Li 0.5000 0.5000 0.1979
Li 0.0000 0.5000 0.2980
Li 0.5000 0.5000 0.8021
Li 0.5000 0.0000 0.5000
Li 0.5000 0.0000 0.7020
Li 0.0000 0.5000 0.5000
Li 0.0000 0.5000 0.9012
Li 0.5000 0.0000 0.2980
Li 0.5000 0.5000 0.3989
Li 0.0000 0.5000 0.7020
Li 0.5000 0.5000 0.0000
In 0.0000 0.0000 0.8007
In 0.0000 0.0000 0.3981
In 0.0000 0.0000 0.6019
In 0.0000 0.0000 0.1993
Cd 0.0000 0.0000 0.0000

The formation energy comes out at -191 meV per atom. The density of states at the Fermi level comes out at 0.34 states/eV per atom.

***

Record 2
A relaxed Li5CdIn8 crystal. Source: the Alexandria database, functional PBE.

a b c (Å): 7.4161 7.4161 7.4161
angles (deg): 111.66 105.18 111.66
Element x y z (fractional)
In 0.5063 0.6008 0.2454
In 0.0946 0.7391 0.4937
In 0.1406 0.7346 0.0854
In 0.5940 0.9447 0.8594
In 0.9146 0.0553 0.6492
In 0.7546 0.2609 0.3554
In 0.6446 0.3992 0.9054
In 0.3508 0.2654 0.4060
Li 0.5000 0.0000 0.5000
Li 0.8042 0.6730 0.7128
Li 0.0398 0.3270 0.1311
Li 0.8689 0.9087 0.1958
Li 0.2872 0.0913 0.9602
Cd 0.2500 0.5000 0.7500

The formation energy comes out at -151 meV per atom. The density of states at the Fermi level comes out at 0.20 states/eV per atom.

***

Record 3
A relaxed Li3CdIn crystal. Source: the Alexandria database, functional PBE.

a b c (Å): 4.7726 5.4864 8.2223
angles (deg): 61.30 90.00 90.00
Element x y z (fractional)
Li 0.2500 0.2867 0.6541
Li 0.7500 0.7133 0.3459
Li 0.7500 0.4964 0.7479
Li 0.2500 0.5036 0.2521
Li 0.2500 0.7107 0.8450
Li 0.7500 0.2893 0.1550
Cd 0.2500 0.1138 0.0428
Cd 0.7500 0.8862 0.9572
In 0.7500 0.1151 0.5483
In 0.2500 0.8849 0.4517

The formation energy comes out at -263 meV per atom. The density of states at the Fermi level comes out at 0.39 states/eV per atom.

***

Record 4
A relaxed Li12CdIn6 crystal. Source: the Alexandria database, functional PBE.

a b c (Å): 7.2772 7.2772 7.2772
angles (deg): 89.28 89.28 89.28
Element x y z (fractional)
In 0.2791 0.7227 0.1222
In 0.1222 0.2791 0.7227
In 0.7209 0.2773 0.8778
In 0.2773 0.8778 0.7209
In 0.7227 0.1222 0.2791
In 0.8778 0.7209 0.2773
Li 0.8478 0.9686 0.6235
Li 0.6235 0.8478 0.9686
Li 0.5761 0.4764 0.1941
Li 0.9686 0.6235 0.8478
Li 0.4239 0.5236 0.8059
Li 0.3765 0.1522 0.0314
Li 0.5236 0.8059 0.4239
Li 0.8059 0.4239 0.5236
Li 0.1522 0.0314 0.3765
Li 0.4764 0.1941 0.5761
Li 0.1941 0.5761 0.4764
Li 0.0314 0.3765 0.1522
Cd 0.0000 0.0000 0.0000

The formation energy comes out at -226 meV per atom. The density of states at the Fermi level comes out at 0.27 states/eV per atom.

***

Record 5
A relaxed LiCdIn2 crystal. Source: the Alexandria database, functional PBE.

a b c (Å): 5.5482 5.5482 5.5482
angles (deg): 132.75 132.78 69.02
Element x y z (fractional)
Cd 0.7498 0.2498 0.5000
In 0.2500 0.7500 0.5000
In 0.9999 0.9999 0.0000
Li 0.5003 0.5003 0.0000

The formation energy comes out at -137 meV per atom. The density of states at the Fermi level comes out at 0.37 states/eV per atom.

***

Record 6
A relaxed LiCd6In2 crystal. Source: the Alexandria database, functional PBE.

a b c (Å): 4.6535 7.3123 7.9829
angles (deg): 117.26 105.94 90.00
Element x y z (fractional)
Cd 0.5000 0.7957 0.0000
Cd 0.1493 0.9297 0.3219
Cd 0.8507 0.0703 0.6781
Cd 0.8507 0.6078 0.6781
Cd 0.1493 0.3922 0.3219
Cd 0.5000 0.2043 0.0000
In 0.6415 0.6547 0.3094
In 0.3585 0.3453 0.6906
Li 0.0000 0.0000 0.0000

The formation energy comes out at 41 meV per atom. The density of states at the Fermi level comes out at 0.34 states/eV per atom.

***

Record 7
A relaxed LiCdIn2 crystal. Source: the Alexandria database, functional PBE.

a b c (Å): 8.1919 8.1919 6.5300
angles (deg): 51.15 51.15 90.00
Element x y z (fractional)
Li 0.2500 0.7500 0.5000
Li 0.5000 0.5000 0.0000
Cd 0.7500 0.2500 0.5000
Cd 0.0000 0.0000 0.0000
In 0.6241 0.1250 0.2500
In 0.3750 0.3759 0.7500
In 0.8750 0.8741 0.7500
In 0.1259 0.6250 0.2500

The formation energy comes out at 22 meV per atom. The density of states at the Fermi level comes out at 0.47 states/eV per atom.

***

Record 8
A relaxed Li2Cd2In5 crystal. Source: the Alexandria database, functional PBE.

a b c (Å): 5.9110 5.3118 7.8110
angles (deg): 107.11 91.84 65.64
Element x y z (fractional)
In 0.4231 0.1804 0.8510
In 0.1749 0.5260 0.2315
In 0.5769 0.8196 0.1490
In 0.0000 0.0000 0.0000
In 0.8251 0.4740 0.7685
Cd 0.7207 0.3696 0.3623
Cd 0.2793 0.6304 0.6377
Li 0.7776 0.9188 0.5321
Li 0.2224 0.0812 0.4679

The formation energy comes out at -84 meV per atom. The density of states at the Fermi level comes out at 0.22 states/eV per atom.

***

Record 9
A relaxed LiCd6In crystal. Source: the Alexandria database, functional PBE.

a b c (Å): 4.4042 4.4042 9.2337
angles (deg): 90.00 90.00 90.00
Element x y z (fractional)
Cd 0.5000 0.0000 0.7345
Cd 0.5000 0.5000 0.0000
Cd 0.0000 0.5000 0.2655
Cd 0.5000 0.0000 0.2655
Cd 0.0000 0.5000 0.7345
Cd 0.5000 0.5000 0.5000
In 0.0000 0.0000 0.0000
Li 0.0000 0.0000 0.5000

The formation energy comes out at -52 meV per atom. The density of states at the Fermi level comes out at 0.53 states/eV per atom.

***

Record 10
A relaxed LiCdIn2 crystal. Source: the Alexandria database, functional PBE.

a b c (Å): 4.4823 4.4889 4.4435
angles (deg): 90.00 90.00 90.00
Element x y z (fractional)
In 0.5000 0.5000 0.0000
In 0.0000 0.0000 0.0000
Cd 0.0000 0.5000 0.5000
Li 0.5000 0.0000 0.5000

The formation energy comes out at -150 meV per atom. The density of states at the Fermi level comes out at 0.35 states/eV per atom.

***

Record 11
A relaxed Li11Cd4In9 crystal. Source: the Alexandria database, functional PBE.

a b c (Å): 3.1932 12.6178 12.6178
angles (deg): 108.98 90.00 90.00
Element x y z (fractional)
Cd 0.5000 0.5732 0.7506
Cd 0.5000 0.2494 0.4268
Cd 0.5000 0.7506 0.5732
Cd 0.5000 0.4268 0.2494
Li 0.0000 0.0000 0.0000
Li 0.0000 0.8324 0.1676
Li 0.0000 0.3719 0.6281
Li 0.0000 0.4104 0.0508
Li 0.0000 0.5896 0.9492
Li 0.0000 0.2365 0.2365
Li 0.0000 0.1676 0.8324
Li 0.0000 0.7635 0.7635
Li 0.0000 0.9492 0.5896
Li 0.0000 0.6281 0.3719
Li 0.0000 0.0508 0.4104
In 0.5000 0.2061 0.0376
In 0.5000 0.8403 0.3720
In 0.5000 0.5000 0.5000
In 0.5000 0.7939 0.9624
In 0.5000 0.9624 0.7939
In 0.5000 0.0376 0.2061
In 0.5000 0.3720 0.8403
In 0.5000 0.1597 0.6280
In 0.5000 0.6280 0.1597

The formation energy comes out at -247 meV per atom. The density of states at the Fermi level comes out at 0.28 states/eV per atom.

***

Record 12
A relaxed LiCd12In6 crystal. Source: the Alexandria database, functional PBE.

a b c (Å): 8.0654 8.0654 8.0654
angles (deg): 104.58 104.58 104.58
Element x y z (fractional)
In 0.7868 0.5837 0.8722
In 0.5837 0.8722 0.7868
In 0.4163 0.1278 0.2132
In 0.1278 0.2132 0.4163
In 0.8722 0.7868 0.5837
In 0.2132 0.4163 0.1278
Cd 0.1932 0.6290 0.5380
Cd 0.7299 0.9413 0.2012
Cd 0.7988 0.2701 0.0587
Cd 0.4620 0.8068 0.3710
Cd 0.5380 0.1932 0.6290
Cd 0.0587 0.7988 0.2701
Cd 0.3710 0.4620 0.8068
Cd 0.8068 0.3710 0.4620
Cd 0.2701 0.0587 0.7988
Cd 0.6290 0.5380 0.1932
Cd 0.2012 0.7299 0.9413
Cd 0.9413 0.2012 0.7299
Li 0.0000 0.0000 0.0000

The formation energy comes out at 5 meV per atom. The density of states at the Fermi level comes out at 0.33 states/eV per atom.

***

Record 13
A relaxed LiCd3In4 crystal. Source: the Alexandria database, functional PBE.

a b c (Å): 6.3768 6.4064 9.2741
angles (deg): 90.00 90.00 90.00
Element x y z (fractional)
Cd 0.2504 0.0641 0.7391
Cd 0.7496 0.0641 0.7391
Cd 0.2496 0.5641 0.2609
Cd 0.5000 0.3157 0.0006
Cd 0.0000 0.8157 0.9994
Cd 0.7504 0.5641 0.2609
In 0.0000 0.3155 0.9999
In 0.0000 0.3137 0.5004
In 0.5000 0.8137 0.4996
In 0.7502 0.0643 0.2590
In 0.2502 0.5643 0.7410
In 0.2498 0.0643 0.2590
In 0.5000 0.8155 0.0001
In 0.7498 0.5643 0.7410
Li 0.5000 0.3136 0.5001
Li 0.0000 0.8136 0.4999

The formation energy comes out at -53 meV per atom. The density of states at the Fermi level comes out at 0.39 states/eV per atom.

***

Record 14
A relaxed LiLuCdIn crystal. Source: the Alexandria database, functional PBE.

a b c (Å): 5.0192 5.0192 5.0192
angles (deg): 60.00 60.00 60.00
Element x y z (fractional)
Cd 0.7500 0.7500 0.7500
Lu 0.5000 0.5000 0.5000
Li 0.0000 0.0000 0.0000
In 0.2500 0.2500 0.2500

The formation energy comes out at -310 meV per atom. The density of states at the Fermi level comes out at 0.40 states/eV per atom.

***

Record 15
A relaxed LiMgCd2In4 crystal. Source: the Alexandria database, functional PBE.

a b c (Å): 4.5368 4.6114 9.7463
angles (deg): 113.70 90.00 90.00
Element x y z (fractional)
Li 0.5000 0.5000 0.0000
Cd 0.0000 0.5000 0.5000
Cd 0.5000 0.0000 0.5000
In 0.0000 0.2854 0.7622
In 0.5000 0.7793 0.7602
In 0.0000 0.7146 0.2378
In 0.5000 0.2207 0.2398
Mg 0.0000 0.0000 0.0000

The formation energy comes out at -72 meV per atom. The density of states at the Fermi level comes out at 0.31 states/eV per atom.

***

Record 16
A relaxed Li2MgCd2In2 crystal. Source: the Alexandria database, functional PBE.

a b c (Å): 5.0106 5.0106 7.5044
angles (deg): 70.50 70.50 60.00
Element x y z (fractional)
Li 0.1420 0.1420 0.5739
Li 0.8580 0.8580 0.4261
Cd 0.5701 0.5701 0.2897
Cd 0.4299 0.4299 0.7103
Mg 0.0000 0.0000 0.0000
In 0.2793 0.2793 0.1621
In 0.7207 0.7207 0.8379

The formation energy comes out at -143 meV per atom. The density of states at the Fermi level comes out at 0.29 states/eV per atom.

***

Record 17
A relaxed LiMg2CdIn crystal. Source: the Alexandria database, functional PBE.

a b c (Å): 4.6711 7.9857 7.2119
angles (deg): 120.58 90.00 107.01
Element x y z (fractional)
In 0.6176 0.2352 0.5873
In 0.3824 0.7648 0.4127
Cd 0.9203 0.8406 0.7637
Cd 0.0797 0.1594 0.2363
Li 0.5413 0.0827 0.8723
Li 0.4587 0.9173 0.1277
Mg 0.8281 0.6563 0.0488
Mg 0.2760 0.5519 0.6769
Mg 0.7240 0.4481 0.3231
Mg 0.1719 0.3437 0.9512

The formation energy comes out at -100 meV per atom. The density of states at the Fermi level comes out at 0.35 states/eV per atom.

***

Record 18
A relaxed LiMg4Cd2In crystal. Source: the Alexandria database, functional PBE.

a b c (Å): 4.2477 4.2477 11.2058
angles (deg): 90.00 90.00 90.00
Element x y z (fractional)
Mg 0.5000 0.0000 0.8079
Mg 0.0000 0.5000 0.8079
Mg 0.0000 0.5000 0.1921
Mg 0.5000 0.0000 0.1921
Cd 0.5000 0.5000 0.3767
Cd 0.5000 0.5000 0.6233
In 0.0000 0.0000 0.0000
Li 0.0000 0.0000 0.5000

The formation energy comes out at 46 meV per atom. The density of states at the Fermi level comes out at 0.42 states/eV per atom.

***

Record 19
A relaxed Li5Mg2Cd2In crystal. Source: the Alexandria database, functional PBE.

a b c (Å): 3.5629 10.7157 10.7157
angles (deg): 90.00 90.00 90.00
Element x y z (fractional)
Li 0.5000 0.4363 0.3064
Li 0.5000 0.0000 0.5000
Li 0.5000 0.5000 0.0000
Li 0.5000 0.6936 0.4363
Li 0.5000 0.1936 0.0637
Li 0.5000 0.3064 0.5637
Li 0.5000 0.5637 0.6936
Li 0.5000 0.8064 0.9363
Li 0.5000 0.9363 0.1936
Li 0.5000 0.0637 0.8064
Cd 0.0000 0.6294 0.8706
Cd 0.0000 0.8706 0.3706
Cd 0.0000 0.3706 0.1294
Cd 0.0000 0.1294 0.6294
Mg 0.0000 0.8311 0.6689
Mg 0.0000 0.3311 0.8311
Mg 0.0000 0.1689 0.3311
Mg 0.0000 0.6689 0.1689
In 0.0000 0.5000 0.5000
In 0.0000 0.0000 0.0000

The formation energy comes out at -109 meV per atom. The density of states at the Fermi level comes out at 0.34 states/eV per atom.

***

Record 20
A relaxed Li3Mg2Cd4In2 crystal. Source: the Alexandria database, functional PBE.

a b c (Å): 4.7918 4.7918 12.2175
angles (deg): 90.00 90.00 120.00
Element x y z (fractional)
Cd 0.3333 0.6667 0.8152
Cd 0.3333 0.6667 0.3337
Cd 0.6667 0.3333 0.1848
Cd 0.6667 0.3333 0.6663
Mg 0.3333 0.6667 0.5721
Mg 0.6667 0.3333 0.4279
In 0.3333 0.6667 0.0860
In 0.6667 0.3333 0.9140
Li 0.0000 0.0000 0.0000
Li 0.0000 0.0000 0.7391
Li 0.0000 0.0000 0.2609

The formation energy comes out at -108 meV per atom. The density of states at the Fermi level comes out at 0.43 states/eV per atom.